1.
This record from Alexandria describes MnZnCo after structural relaxation. The functional is PBE-GGA.

a b c (Å): 5.6578 5.6578 5.6578
angles (deg): 153.91 153.91 37.22
Positions (direct):
Zn  0.6641  0.6641  0.0000
Mn  0.3464  0.3464  0.0000
Co  0.9895  0.9895  0.0000

Results
Space group: I4mm
Final energy in eV for the cell shown: -17.40
Total magnetization in μB/atom: 0.22
Formation energy in meV/atom: 49

---

2.
This record from Alexandria describes Mn3ZnCo after structural relaxation. The functional is PBE-GGA.

a b c (Å): 4.4762 4.4762 4.4762
angles (deg): 90.00 90.00 90.00
Positions (direct):
Zn  0.5000  0.5000  0.5000
Mn  0.0000  0.5000  0.0000
Mn  0.0000  0.0000  0.5000
Mn  0.5000  0.0000  0.0000
Co  0.0000  0.0000  0.0000

Results
Space group: Pm-3m
Final energy in eV for the cell shown: -31.58
Total magnetization in μB/atom: 2.48
Formation energy in meV/atom: 861

---

Question: The lowest total magnetization belongs to which entry?
Answer: MnZnCo

---

What did the first record say?
This record from Alexandria describes MnZnCo after structural relaxation. The functional is PBE-GGA.

a b c (Å): 5.6578 5.6578 5.6578
angles (deg): 153.91 153.91 37.22
Positions (direct):
Zn  0.6641  0.6641  0.0000
Mn  0.3464  0.3464  0.0000
Co  0.9895  0.9895  0.0000

Results
Space group: I4mm
Final energy in eV for the cell shown: -17.40
Total magnetization in μB/atom: 0.22
Formation energy in meV/atom: 49

---

Question: Which of these has the highest total magnetization?
Answer: Mn3ZnCo

---

Repeat the first record exactly.
This record from Alexandria describes MnZnCo after structural relaxation. The functional is PBE-GGA.

a b c (Å): 5.6578 5.6578 5.6578
angles (deg): 153.91 153.91 37.22
Positions (direct):
Zn  0.6641  0.6641  0.0000
Mn  0.3464  0.3464  0.0000
Co  0.9895  0.9895  0.0000

Results
Space group: I4mm
Final energy in eV for the cell shown: -17.40
Total magnetization in μB/atom: 0.22
Formation energy in meV/atom: 49